# La2Ni2Pd, single point on PBEsol structure, DFT SCAN
data_La2Ni2Pd
_space_group_name_H-M_alt 'P 1'
_space_group_IT_number 1
_cell_length_a 7.132
_cell_length_b 7.132
_cell_length_c 3.842
_cell_angle_alpha 90.00
_cell_angle_beta 90.00
_cell_angle_gamma 90.00
loop_
_space_group_symop_operation_xyz
'x,y,z'
loop_
_atom_site_label
_atom_site_fract_x
_atom_site_fract_y
_atom_site_fract_z
_atom_site_occupancy
La1 0.182 0.318 0.000 1
La2 0.318 0.818 0.000 1
La3 0.682 0.182 0.000 1
La4 0.818 0.682 0.000 1
Ni1 0.120 0.620 0.500 1
Ni2 0.380 0.120 0.500 1
Ni3 0.620 0.880 0.500 1
Ni4 0.880 0.380 0.500 1
Pd1 0.000 0.000 0.500 1
Pd2 0.500 0.500 0.500 1
# DFT total energy = -307.0 eV per cell

# LaNi4Pt, single point on PBEsol structure, DFT SCAN
data_LaNi4Pt
_space_group_name_H-M_alt 'P 1'
_space_group_IT_number 1
_cell_length_a 5.101
_cell_length_b 5.101
_cell_length_c 3.974
_cell_angle_alpha 90.00
_cell_angle_beta 90.00
_cell_angle_gamma 122.87
loop_
_space_group_symop_operation_xyz
'x,y,z'
loop_
_atom_site_label
_atom_site_fract_x
_atom_site_fract_y
_atom_site_fract_z
_atom_site_occupancy
La1 0.000 0.000 0.000 1
Ni1 0.000 0.500 0.500 1
Ni2 0.317 0.683 0.000 1
Ni3 0.500 0.000 0.500 1
Ni4 0.683 0.317 0.000 1
Pt1 0.500 0.500 0.500 1
# DFT total energy = -180.9 eV per cell

# LaNi3Pt, single point on PBEsol structure, DFT SCAN
data_LaNi3Pt
_space_group_name_H-M_alt 'P 1'
_space_group_IT_number 1
_cell_length_a 4.484
_cell_length_b 4.484
_cell_length_c 4.484
_cell_angle_alpha 90.00
_cell_angle_beta 90.00
_cell_angle_gamma 90.00
loop_
_space_group_symop_operation_xyz
'x,y,z'
loop_
_atom_site_label
_atom_site_fract_x
_atom_site_fract_y
_atom_site_fract_z
_atom_site_occupancy
La1 0.000 0.000 0.000 1
Ni1 0.000 0.000 0.500 1
Ni2 0.000 0.500 0.000 1
Ni3 0.500 0.000 0.000 1
Pt1 0.500 0.500 0.500 1
# DFT total energy = -154.6 eV per cell

# Rb2LaNiW, single point on PBEsol structure, DFT SCAN
data_Rb2LaNiW
_space_group_name_H-M_alt 'P 1'
_space_group_IT_number 1
_cell_length_a 5.803
_cell_length_b 5.803
_cell_length_c 5.270
_cell_angle_alpha 90.00
_cell_angle_beta 90.00
_cell_angle_gamma 90.00
loop_
_space_group_symop_operation_xyz
'x,y,z'
loop_
_atom_site_label
_atom_site_fract_x
_atom_site_fract_y
_atom_site_fract_z
_atom_site_occupancy
Rb1 0.000 0.500 0.000 1
Rb2 0.500 0.000 0.000 1
La1 0.000 0.000 0.500 1
Ni1 0.000 0.000 0.000 1
W1 0.500 0.500 0.500 1
# DFT total energy = -162.1 eV per cell

no.,calculated formation energy (kcal/mol of atoms)
1,-9.93
2,-11.07
3,33.28
4,38.45